1.
Computed, not measured: a relaxed structure of PrAl5Pd3 at the PBE level of DFT.

Values from the calculation:
Energy relative to the elements: -0.715 eV per atom
DOS(E_F): 13.39 states/eV/cell
Magnetization: 0.00 μB per formula unit
Raw total energy: -182.02 eV/cell

Cell and atoms, written as CIF:
```
data_PrAl5Pd3
_space_group_name_H-M_alt 'C m c m'
_space_group_IT_number 63
_space_group_name_Hall '-C 2c 2'
_cell_length_a 4.112
_cell_length_b 12.927
_cell_length_c 12.622
_cell_angle_alpha 90.00
_cell_angle_beta 90.00
_cell_angle_gamma 90.00
loop_
_atom_site_label
_atom_site_type_symbol
_atom_site_fract_x
_atom_site_fract_y
_atom_site_fract_z
_atom_site_occupancy
Pr1 Pr 0.000 0.166 0.250 1
Al1 Al 0.000 0.000 0.000 1
Al2 Al 0.000 0.201 0.563 1
Al3 Al 0.000 0.443 0.149 1
Pd1 Pd 0.000 0.125 0.750 1
Pd2 Pd 0.000 0.390 0.543 1
```

***

2.
Computed, not measured: a relaxed structure of Ac6Tl5Ge at the PBE level of DFT.

Values from the calculation:
Energy relative to the elements: -0.384 eV per atom
Energy relative to the lowest polymorph listed for this composition: 0.04 eV/f.u.
DOS(E_F): 10.76 states/eV/cell
Magnetization: 0.00 μB per formula unit
Raw total energy: -45.71 eV/cell

Cell and atoms, written as CIF:
```
data_Ac6Tl5Ge
_space_group_name_H-M_alt 'P -1'
_space_group_IT_number 2
_cell_length_a 5.761
_cell_length_b 8.215
_cell_length_c 9.160
_cell_angle_alpha 89.91
_cell_angle_beta 71.96
_cell_angle_gamma 89.96
loop_
_space_group_symop_operation_xyz
'x,y,z'
'-x,-y,-z'
loop_
_atom_site_label
_atom_site_type_symbol
_atom_site_fract_x
_atom_site_fract_y
_atom_site_fract_z
_atom_site_occupancy
Ac1 Ac 0.000 0.236 0.000 1
Ac2 Ac 0.340 0.246 0.319 1
Ac3 Ac 0.340 0.754 0.319 1
Tl1 Tl 0.169 0.500 0.665 1
Tl2 Tl 0.175 0.000 0.649 1
Tl3 Tl 0.500 0.500 0.000 1
Ge1 Ge 0.500 0.000 0.000 1
```

***

3.
Computed, not measured: a relaxed structure of K2Rb4Na5 at the PBE level of DFT.

Values from the calculation:
Energy relative to the elements: 0.056 eV per atom
DOS(E_F): 7.40 states/eV/cell
Magnetization: 0.00 μB per formula unit
Raw total energy: -12.05 eV/cell

Cell and atoms, written as CIF:
```
data_K2Rb4Na5
_space_group_name_H-M_alt 'P 1 2/m 1'
_space_group_IT_number 10
_cell_length_a 11.157
_cell_length_b 4.652
_cell_length_c 14.116
_cell_angle_alpha 90.00
_cell_angle_beta 108.66
_cell_angle_gamma 90.00
loop_
_space_group_symop_operation_xyz
'x,y,z'
'-x,-y,-z'
'-x,y,-z'
'x,-y,z'
loop_
_atom_site_label
_atom_site_type_symbol
_atom_site_fract_x
_atom_site_fract_y
_atom_site_fract_z
_atom_site_occupancy
K1 K 0.145 0.000 0.409 1
Rb1 Rb 0.261 0.500 0.745 1
Rb2 Rb 0.269 0.500 0.140 1
Na1 Na 0.065 0.000 0.895 1
Na2 Na 0.495 0.000 0.621 1
Na3 Na 0.500 0.000 0.000 1
```

***

4.
Computed, not measured: a relaxed structure of TiRuO2F at the PBE level of DFT.

Values from the calculation:
Raw formation energy: -1.41 eV per atom
DOS(E_F): 4.19 states/eV/cell
Magnetization: 3.01 μB per formula unit
Raw total energy: -35.99 eV/cell

Cell and atoms, written as CIF:
```
data_TiRuO2F
_space_group_name_H-M_alt 'P 4/m m m'
_space_group_IT_number 123
_space_group_name_Hall '-P 4 2'
_cell_length_a 3.894
_cell_length_b 3.894
_cell_length_c 3.965
_cell_angle_alpha 90.00
_cell_angle_beta 90.00
_cell_angle_gamma 90.00
loop_
_atom_site_label
_atom_site_type_symbol
_atom_site_fract_x
_atom_site_fract_y
_atom_site_fract_z
_atom_site_occupancy
Ti1 Ti 0.000 0.000 0.000 1
Ru1 Ru 0.500 0.500 0.500 1
O1 O 0.000 0.500 0.000 1
F1 F 0.000 0.000 0.500 1
```

***

- magnetization of number 1 (PrAl5Pd3)?
  0.00 μB per formula unit

***

- Among the records above, which one has the lowest DOS(E_F)?
  TiRuO2F

***

- Which formula does entry 4 have?
  TiRuO2F

***

- raw total energy of number 2 (Ac6Tl5Ge)?
  -45.71 eV/cell